# 1
DFT (meta-GGA SCAN) results for Hf5CuSb3 at its PBEsol-relaxed geometry.

Cell lengths 8.4596, 8.4596, 5.6827 Å; angles 90.00, 90.00, 120.00 degrees
Space group P6_3/mcm (No. 193)
Unique sites:
Hf (0.0000, 0.2636, 0.2500) [6 per cell]
Hf (0.3333, 0.6667, 0.0000) [4 per cell]
Cu (0.0000, 0.0000, 0.0000) [2 per cell]
Sb (0.0000, 0.3861, 0.7500) [6 per cell]

Calculated values
Formation energy without anion corrections, eV/atom: -0.57
DFT total energy, eV/atom: -49.4965

=====

# 2
DFT (meta-GGA SCAN) results for Hf2Cu2Sb at its PBEsol-relaxed geometry.

Cell lengths 6.585, 6.585, 3.961 Å; angles 90.00, 90.00, 90.00 degrees
Space group P4/mbm (No. 127)
Unique sites:
Hf (0.165, 0.335, 0.000) [4 per cell]
Cu (0.126, 0.626, 0.500) [4 per cell]
Sb (0.000, 0.000, 0.500) [2 per cell]

Calculated values
Formation energy without anion corrections, eV/atom: -0.34
DFT total energy, eV/atom: -38.9364